Material: VInSnF6
Method: DFT, GGA+U
State: relaxed

Cell and atoms, written as POSCAR:
```
VInSnF6
1.0
5.1905 0.0000 0.0000
-0.0486 5.8832 0.0000
-0.0535 -2.7026 5.2259
V In Sn F
1 1 1 6
direct
0.0000 0.0000 0.0000
0.4602 0.3307 0.6620
0.9283 0.6600 0.3194
0.1950 0.3434 0.1143
0.1981 0.8110 0.6822
0.2137 0.8807 0.2108
0.7723 0.0951 0.7980
0.8044 0.1928 0.3083
0.8070 0.6731 0.9256
```

Properties
Fermi-level density of states: 0.00 states/eV per atom
ρ: 4.15 g/cm3
Magnetization: 1.99 μB/f.u.
Uncorrected energy: -5.220 eV/atom